Entry 1:
The following is a PBE calculation of a geometry-optimized RbY2Se structure, from the Alexandria database.

Geometry as POSCAR:
```
RbY2Se
1.0
3.923 0.000 0.000
-1.961 3.397 0.000
0.000 0.000 33.125
Rb Y Se
3 6 3
Cartesian
0.000 0.000 0.000 Rb
0.000 2.265 22.083 Rb
1.961 1.132 11.042 Rb
0.000 0.000 3.833 Y
0.000 0.000 29.293 Y
0.000 2.265 18.251 Y
0.000 2.265 25.916 Y
1.961 1.132 7.209 Y
1.961 1.132 14.874 Y
0.000 0.000 16.563 Se
0.000 2.265 5.521 Se
1.961 1.132 27.604 Se
```

## Properties
E in Ry/atom: -0.3609



Entry 2:
The following is a PBE calculation of a geometry-optimized MnCoHPd2 structure, from the Alexandria database.

Geometry as POSCAR:
```
MnCoHPd2
1.0
3.873 0.000 0.000
0.000 3.873 0.000
0.000 0.000 3.940
Mn Co H Pd
1 1 1 2
Cartesian
0.000 0.000 0.000 Mn
1.937 1.937 0.000 Co
0.000 0.000 1.970 H
0.000 1.937 1.970 Pd
1.937 0.000 1.970 Pd
```

## Properties
Energy above the lowest structure with this stoichiometry in eV per formula unit: 0.202



Entry 3:
The following is a PBE calculation of a geometry-optimized SrMnGe structure, from the Alexandria database.

Geometry as POSCAR:
```
SrMnGe
1.0
4.380 0.000 0.000
0.000 4.380 0.000
0.000 0.000 7.530
Sr Mn Ge
2 2 2
Cartesian
1.095 1.095 1.299 Sr
3.285 3.285 6.231 Sr
1.095 3.285 3.765 Mn
3.285 1.095 3.765 Mn
1.095 1.095 5.141 Ge
3.285 3.285 2.388 Ge
```

## Properties
E in Ry/atom: -0.3990



Entry 4:
The following is a PBE calculation of a geometry-optimized SrAgSb structure, from the Alexandria database.

Geometry as POSCAR:
```
SrAgSb
1.0
4.987 0.000 0.000
2.460 4.346 0.000
2.439 1.414 8.102
Sr Ag Sb
2 2 2
Cartesian
2.452 1.424 2.469 Sr
7.434 4.335 5.633 Sr
4.940 2.876 7.221 Ag
4.946 2.883 0.880 Ag
0.000 0.000 0.000 Sb
4.943 2.880 4.051 Sb
```

## Properties
E in Ry/atom: -0.2574



Entry 5:
The following is a PBE calculation of a geometry-optimized PrNdSm6Er2 structure, from the Alexandria database.

Geometry as POSCAR:
```
PrNdSm6Er2
1.0
4.670 -7.578 0.000
4.670 7.578 0.000
-1.156 0.000 9.586
Pr Nd Sm Er
2 2 12 4
Cartesian
3.803 6.166 7.190 Pr
4.381 -6.166 2.397 Pr
4.381 0.508 2.397 Nd
3.803 -0.508 7.190 Nd
3.351 5.899 3.663 Sm
2.486 3.443 1.728 Sm
5.411 5.899 1.130 Sm
3.408 2.665 5.339 Sm
4.199 2.665 9.041 Sm
6.277 3.443 3.065 Sm
1.908 -3.443 6.521 Sm
3.986 -2.665 0.546 Sm
4.777 -2.665 4.247 Sm
2.773 -5.899 8.456 Sm
5.699 -3.443 7.859 Sm
4.833 -5.899 5.924 Sm
1.261 0.738 9.110 Er
1.839 -0.738 4.317 Er
6.345 0.738 5.270 Er
6.923 -0.738 0.477 Er
```

## Properties
E in Ry/atom: -0.3367



Entry 6:
The following is a PBE calculation of a geometry-optimized CoNi2Br structure, from the Alexandria database.

Geometry as POSCAR:
```
CoNi2Br
1.0
3.813 0.000 0.000
0.000 3.813 0.000
0.000 0.000 7.250
Co Ni Br
2 4 2
Cartesian
0.000 0.000 0.000 Co
1.907 1.907 3.625 Co
0.000 0.000 3.625 Ni
0.000 1.907 5.437 Ni
1.907 0.000 1.812 Ni
1.907 1.907 0.000 Ni
0.000 1.907 1.812 Br
1.907 0.000 5.437 Br
```

## Properties
Energy above the lowest structure with this stoichiometry in eV per formula unit: 1.231



Entry 7:
The following is a PBE calculation of a geometry-optimized Ce3SmTh2Sb6 structure, from the Alexandria database.

Geometry as POSCAR:
```
Ce3SmTh2Sb6
1.0
3.890 -6.739 0.000
3.890 6.739 0.000
-2.593 0.000 7.381
Ce Sm Th Sb
3 1 2 6
Cartesian
0.000 0.000 0.000 Ce
3.890 2.252 0.000 Ce
3.890 -2.252 0.000 Ce
2.593 0.000 3.691 Sm
2.593 4.495 3.691 Th
2.593 -4.495 3.691 Th
1.301 2.239 1.849 Sb
0.009 0.000 5.540 Sb
1.301 -2.239 1.849 Sb
3.886 2.239 5.532 Sb
5.178 0.000 1.841 Sb
3.886 -2.239 5.532 Sb
```

## Properties
E in Ry/atom: -0.4567



Entry 8:
The following is a PBE calculation of a geometry-optimized Cs2ZrSeI6 structure, from the Alexandria database.

Geometry as POSCAR:
```
Cs2ZrSeI6
1.0
-4.699 4.699 5.616
4.699 -4.699 5.616
4.699 4.699 -5.616
Cs Zr Se I
2 1 1 6
Cartesian
4.699 0.000 2.808 Cs
0.000 4.699 2.808 Cs
0.000 0.000 0.000 Zr
0.000 0.000 5.616 Se
2.046 2.046 0.000 I
2.653 -2.653 5.616 I
0.000 0.000 2.883 I
0.000 0.000 8.349 I
-2.653 2.653 5.616 I
2.653 2.653 5.616 I
```

## Properties
E in Ry/atom: -0.2345



no.,Fermi-level density of states (states/eV/atom)
1,1.155
2,0.842
3,0.655
4,0.118
5,1.459
6,1.349
7,1.912
8,0.008